one.
Density functional theory data (PBE-GGA) for AgTeOsN2 after structural relaxation.

Geometry as CIF:
```
data_AgTeOsN2
_chemical_formula_sum 'Ag1 Te1 Os1 N2'
_cell_length_a 3.853
_cell_length_b 3.853
_cell_length_c 5.862
_cell_angle_alpha 90.00
_cell_angle_beta 90.00
_cell_angle_gamma 90.00
_symmetry_space_group_name_H-M 'P 4/m m m'
_symmetry_Int_Tables_number 123
_symmetry_space_group_name_Hall '-P 4 2'
loop_
_atom_site_label
_atom_site_type_symbol
_atom_site_fract_x
_atom_site_fract_y
_atom_site_fract_z
Ag1 Ag 0.000 0.000 0.000
Te1 Te 0.500 0.500 0.000
Os1 Os 0.500 0.500 0.500
N1 N 0.000 0.500 0.500
```

Results
Total moment: 0.28 μB per formula unit
N(E_F): 0.37 states/eV per atom

two.
Density functional theory data (PBE-GGA) for AgTeOsN2 after structural relaxation.

Geometry as CIF:
```
data_AgTeOsN2
_chemical_formula_sum 'Ag1 Te1 Os1 N2'
_cell_length_a 3.880
_cell_length_b 3.880
_cell_length_c 6.449
_cell_angle_alpha 90.00
_cell_angle_beta 90.00
_cell_angle_gamma 90.00
_symmetry_space_group_name_H-M 'P 4/m m m'
_symmetry_Int_Tables_number 123
_symmetry_space_group_name_Hall '-P 4 2'
loop_
_atom_site_label
_atom_site_type_symbol
_atom_site_fract_x
_atom_site_fract_y
_atom_site_fract_z
Ag1 Ag 0.000 0.000 0.000
Te1 Te 0.000 0.000 0.500
Os1 Os 0.500 0.500 0.500
N1 N 0.000 0.500 0.000
```

Results
Total moment: 1.77 μB per formula unit
N(E_F): 1.37 states/eV per atom

Here is how they stack up, most stable first: one, two.

one.
Density functional theory data (PBE-GGA) for AgPSN2 after structural relaxation.

Geometry as CIF:
```
data_AgPSN2
_chemical_formula_sum 'Ag1 P1 S1 N2'
_cell_length_a 4.025
_cell_length_b 4.025
_cell_length_c 5.389
_cell_angle_alpha 90.00
_cell_angle_beta 90.00
_cell_angle_gamma 90.00
_symmetry_space_group_name_H-M 'P 4/m m m'
_symmetry_Int_Tables_number 123
_symmetry_space_group_name_Hall '-P 4 2'
loop_
_atom_site_label
_atom_site_type_symbol
_atom_site_fract_x
_atom_site_fract_y
_atom_site_fract_z
Ag1 Ag 0.000 0.000 0.000
P1 P 0.500 0.500 0.500
S1 S 0.000 0.000 0.500
N1 N 0.000 0.500 0.000
```

Results
Total moment: 2.64 μB per formula unit
N(E_F): 0.53 states/eV per atom

two.
Density functional theory data (PBE-GGA) for AgPSN2 after structural relaxation.

Geometry as CIF:
```
data_AgPSN2
_chemical_formula_sum 'Ag1 P1 S1 N2'
_cell_length_a 3.390
_cell_length_b 3.390
_cell_length_c 6.069
_cell_angle_alpha 90.00
_cell_angle_beta 90.00
_cell_angle_gamma 90.00
_symmetry_space_group_name_H-M 'P 4/m m m'
_symmetry_Int_Tables_number 123
_symmetry_space_group_name_Hall '-P 4 2'
loop_
_atom_site_label
_atom_site_type_symbol
_atom_site_fract_x
_atom_site_fract_y
_atom_site_fract_z
Ag1 Ag 0.000 0.000 0.000
P1 P 0.500 0.500 0.500
S1 S 0.500 0.500 0.000
N1 N 0.000 0.500 0.500
```

Results
Total moment: 0.21 μB per formula unit
N(E_F): 0.50 states/eV per atom

Here is how they stack up, most stable first: two, one.

one.
Density functional theory data (PBE-GGA) for AgPSe2N after structural relaxation.

Geometry as CIF:
```
data_AgPSe2N
_chemical_formula_sum 'Ag1 P1 Se2 N1'
_cell_length_a 5.191
_cell_length_b 5.191
_cell_length_c 3.202
_cell_angle_alpha 90.00
_cell_angle_beta 90.00
_cell_angle_gamma 90.00
_symmetry_space_group_name_H-M 'P 4/m m m'
_symmetry_Int_Tables_number 123
_symmetry_space_group_name_Hall '-P 4 2'
loop_
_atom_site_label
_atom_site_type_symbol
_atom_site_fract_x
_atom_site_fract_y
_atom_site_fract_z
Ag1 Ag 0.000 0.000 0.000
P1 P 0.500 0.500 0.500
Se1 Se 0.000 0.500 0.500
N1 N 0.500 0.500 0.000
```

Results
Total moment: 0.00 μB per formula unit
N(E_F): 0.54 states/eV per atom

two.
Density functional theory data (PBE-GGA) for AgPSe2N after structural relaxation.

Geometry as CIF:
```
data_AgPSe2N
_chemical_formula_sum 'Ag1 P1 Se2 N1'
_cell_length_a 5.159
_cell_length_b 5.159
_cell_length_c 3.939
_cell_angle_alpha 90.00
_cell_angle_beta 90.00
_cell_angle_gamma 90.00
_symmetry_space_group_name_H-M 'P 4/m m m'
_symmetry_Int_Tables_number 123
_symmetry_space_group_name_Hall '-P 4 2'
loop_
_atom_site_label
_atom_site_type_symbol
_atom_site_fract_x
_atom_site_fract_y
_atom_site_fract_z
Ag1 Ag 0.000 0.000 0.000
P1 P 0.500 0.500 0.500
Se1 Se 0.000 0.500 0.000
N1 N 0.000 0.000 0.500
```

Results
Total moment: 1.95 μB per formula unit
N(E_F): 0.62 states/eV per atom

Here is how they stack up, most stable first: one, two.